Record 1
## Tm6Th7Sc16 (PBE)

Data for a relaxed Tm6Th7Sc16 crystal.

Calculated values
- formation enthalpy at 0 K (eV per formula unit) = 6.71

Lattice parameters (Å, degrees): 10.7247 10.7247 10.7247 60.00 60.00 60.00
Positions (direct):
Tm 0.2396 0.2396 0.7604
Tm 0.2396 0.7604 0.2396
Tm 0.2396 0.7604 0.7604
Tm 0.7604 0.2396 0.2396
Tm 0.7604 0.2396 0.7604
Tm 0.7604 0.7604 0.2396
Th 0.0000 0.0000 0.5000
Th 0.0000 0.5000 0.0000
Th 0.0000 0.5000 0.5000
Th 0.5000 0.0000 0.0000
Th 0.5000 0.0000 0.5000
Th 0.5000 0.5000 0.0000
Th 0.5000 0.5000 0.5000
Sc 0.1204 0.6265 0.6265
Sc 0.1666 0.1666 0.1666
Sc 0.1666 0.1666 0.5002
Sc 0.1666 0.5002 0.1666
Sc 0.3735 0.3735 0.3735
Sc 0.3735 0.3735 0.8796
Sc 0.3735 0.8796 0.3735
Sc 0.5002 0.1666 0.1666
Sc 0.4998 0.8334 0.8334
Sc 0.6265 0.1204 0.6265
Sc 0.6265 0.6265 0.1204
Sc 0.6265 0.6265 0.6265
Sc 0.8334 0.4998 0.8334
Sc 0.8334 0.8334 0.4998
Sc 0.8334 0.8334 0.8334
Sc 0.8796 0.3735 0.3735

---

Record 2
## TmThSc3 (PBE)

Data for a relaxed TmThSc3 crystal.

Calculated values
- excess energy over the best structure of this formula in the dataset (eV per atom) = 0.183
- formation enthalpy at 0 K (eV per formula unit) = 1.11

Lattice parameters (Å, degrees): 8.6170 8.6170 10.6560 107.03 107.03 21.65
Positions (direct):
Tm 0.1012 0.1012 0.0538
Tm 0.8988 0.8988 0.9462
Th 0.3955 0.3955 0.4514
Th 0.6045 0.6045 0.5486
Sc 0.0073 0.0073 0.7350
Sc 0.1984 0.1984 0.3661
Sc 0.3040 0.3040 0.1327
Sc 0.6960 0.6960 0.8673
Sc 0.8016 0.8016 0.6339
Sc 0.9927 0.9927 0.2650

---

Record 3
## TmTh4Sc (PBE)

Data for a relaxed TmTh4Sc crystal.

Calculated values
- formation enthalpy at 0 K (eV per formula unit) = 0.22

Lattice parameters (Å, degrees): 6.0874 6.0874 6.0347 98.75 98.75 120.57
Positions (direct):
Tm 0.0000 0.0000 0.0000
Th 0.1674 0.8326 0.5000
Th 0.3360 0.6640 0.0000
Th 0.6640 0.3360 0.0000
Th 0.8326 0.1674 0.5000
Sc 0.5000 0.5000 0.5000

---

Going through the records in order, we get total magnetization values of 0.000 0.000 0.000 μB/atom.